Record 1
Computed, not measured: a relaxed structure of AgSbPtO4 at the PBE-GGA level of DFT.

## Properties
ΔE_f (raw)	-702	meV per atom
DOS(E_F)	2.12	states/eV/cell

```
AgSbPtO4
1.0
-2.954 3.072 5.589
2.954 -3.072 5.589
2.954 3.072 -5.589
Ag Sb Pt O
2 2 2 8
Direct
0.421 0.171 0.250
0.579 0.829 0.750
0.000 0.500 0.500
0.500 0.500 0.000
0.000 0.000 0.500
0.000 0.500 0.000
0.144 0.687 0.457
0.270 0.296 0.526
0.270 0.313 0.957
0.270 0.743 0.974
0.730 0.257 0.026
0.730 0.687 0.043
0.730 0.704 0.474
0.856 0.313 0.543
```

Record 2
Computed, not measured: a relaxed structure of ScAgPtO4 at the PBE-GGA level of DFT.

## Properties
ΔE_f (raw)	-1446	meV per atom

```
ScAgPtO4
1.0
-3.224 3.262 4.476
3.224 -3.262 4.476
3.224 3.262 -4.476
Sc Ag Pt O
2 2 2 8
Direct
0.000 0.000 0.000
0.500 0.000 0.500
0.372 0.622 0.750
0.628 0.378 0.250
0.000 0.000 0.500
0.000 0.500 0.000
0.190 0.240 0.950
0.210 0.760 0.450
0.230 0.190 0.460
0.230 0.770 0.040
0.770 0.230 0.960
0.770 0.810 0.540
0.790 0.240 0.550
0.810 0.760 0.050
```

Record 3
Computed, not measured: a relaxed structure of AgPtSe2O at the PBE-GGA level of DFT.

## Properties
ΔE_f (raw)	193	meV per atom
DOS(E_F)	6.61	states/eV/cell

```
AgPtSe2O
1.0
5.222 0.000 0.000
0.000 5.222 0.000
0.000 0.000 3.726
Ag Pt Se O
1 1 2 1
Direct
0.000 0.000 0.000
0.500 0.500 0.500
0.000 0.500 0.500
0.500 0.000 0.500
0.500 0.500 0.000
```

- What is the formula in the first record?
  AgSbPtO4

- The highest ΔE_f (raw) belongs to which entry?
  AgPtSe2O

- Which of these has the highest ΔE_f (raw)?
  AgPtSe2O

- Which formula does entry 1 have?
  AgSbPtO4